CsTlHg3: relaxed, PBE-GGA.

Geometry as POSCAR:
```
CsTlHg3
1.0
2.0315 -16.2596 0.0000
2.0315 16.2596 0.0000
0.0000 0.0000 5.3572
Tl Cs Hg
2 2 6
Cartesian
2.0315 -9.1684 1.3393
2.0315 9.1684 4.0179
2.0315 -13.6405 4.0179
2.0315 13.6405 1.3393
2.0315 -4.2935 4.0179
2.0315 0.8322 1.3393
2.0315 6.0617 4.0179
2.0315 -0.8322 4.0179
2.0315 4.2935 1.3393
2.0315 -6.0617 1.3393
```

SG: Cmcm
Calculated volume (Å³ per atom): 35.4
E_tot (Ry per atom): -0.0708
Total magnetization (μB/cell): 0.0
Energy above the lowest structure with this stoichiometry (meV per atom): 0



Mg2MnSb: relaxed, PBE-GGA.

Geometry as POSCAR:
```
Mg2MnSb
1.0
-1.1293 -1.2338 -2.7008
-2.5658 -1.0550 1.5478
-3.9172 7.1426 -1.6251
Mg Sb Mn
2 1 1
Cartesian
-0.1446 0.2636 -0.0600
-1.8140 3.3077 -0.7526
-4.7854 4.2126 -1.7953
-2.8268 0.6412 -0.9828
```

SG: Cmmm
Calculated volume (Å³ per atom): 21.0
E_tot (Ry per atom): -0.2940
Total magnetization (μB/cell): 3.4
Formation energy from raw total energies (eV/f.u.): 0.5



Which value of E_tot does entry 2 give?
-0.2940 Ry per atom



The lowest E_tot belongs to which entry?
Mg2MnSb



The lowest total magnetization belongs to which entry?
CsTlHg3



Which formula does entry 1 have?
CsTlHg3